Entry from Alexandria via LeMat-Bulk: a relaxed TlHgSbPb crystal (PBE).

Output
Final energy in eV per formula unit: -10.39
Polymorph energy (0 for the lowest one) in eV per atom: 0.004
Crystal system: cubic
Magnetic moment in μB/f.u.: 0.0
Density of states at the Fermi level in states/eV/cell: 7.22

Cell lengths 7.835, 7.835, 7.835 Å; angles 90.00, 90.00, 90.00 degrees
Space group F-43m (No. 216)
Asymmetric unit:
Tl1 0.000 0.000 0.000 (multiplicity 4)
Hg1 0.250 0.250 0.750 (multiplicity 4)
Sb1 0.250 0.250 0.250 (multiplicity 4)
Pb1 0.000 0.000 0.500 (multiplicity 4)



Entry from Alexandria via LeMat-Bulk: a relaxed TlHgSb2Pb2 crystal (PBE).

Output
Final energy in eV per formula unit: -18.24
Crystal system: orthorhombic
Magnetic moment in μB/f.u.: 0.0
Density of states at the Fermi level in states/eV/cell: 3.69

Cell lengths 4.596, 9.289, 8.896 Å; angles 90.00, 90.00, 90.00 degrees
Space group Pmc2_1 (No. 26)
Asymmetric unit:
Tl1 0.000 0.098 0.000 (multiplicity 2)
Hg1 0.500 0.202 0.707 (multiplicity 2)
Sb1 0.000 0.415 0.847 (multiplicity 2)
Sb2 0.500 0.129 0.253 (multiplicity 2)
Pb1 0.000 0.261 0.449 (multiplicity 2)
Pb2 0.500 0.433 0.099 (multiplicity 2)



Entry from Alexandria via LeMat-Bulk: a relaxed Tl2Hg2SbPb crystal (PBE).

Output
Final energy in eV per formula unit: -13.01
Crystal system: orthorhombic
Magnetic moment in μB/f.u.: 0.0
Density of states at the Fermi level in states/eV/cell: 8.80

Cell lengths 17.949, 6.757, 6.099 Å; angles 90.00, 90.00, 90.00 degrees
Space group Cmc2_1 (No. 36)
Asymmetric unit:
Tl1 0.169 0.131 0.000 (multiplicity 8)
Hg1 0.153 0.389 0.487 (multiplicity 8)
Sb1 0.000 0.294 0.840 (multiplicity 4)
Pb1 0.000 0.166 0.336 (multiplicity 4)



Entry from Alexandria via LeMat-Bulk: a relaxed VHg2SbPb crystal (PBE).

Output
Final energy in eV per formula unit: -12.04
Polymorph energy (0 for the lowest one) in eV per atom: 0.386
Crystal system: tetragonal
Magnetic moment in μB/f.u.: 3.9
Density of states at the Fermi level in states/eV/cell: 6.07

Cell lengths 5.705, 5.705, 6.672 Å; angles 90.00, 90.00, 90.00 degrees
Space group P4/mmm (No. 123)
Asymmetric unit:
V1 0.000 0.000 0.000 (multiplicity 1)
Hg1 0.000 0.500 0.500 (multiplicity 2)
Sb1 0.500 0.500 0.000 (multiplicity 1)
Pb1 0.500 0.500 0.500 (multiplicity 1)



Entry from Alexandria via LeMat-Bulk: a relaxed VHg2SbPb crystal (PBE).

Output
Final energy in eV per formula unit: -13.97
Polymorph energy (0 for the lowest one) in eV per atom: 0.000
Crystal system: tetragonal
Magnetic moment in μB/f.u.: 0.0
Density of states at the Fermi level in states/eV/cell: 6.03

Cell lengths 5.210, 5.210, 5.311 Å; angles 90.00, 90.00, 90.00 degrees
Space group P4/mmm (No. 123)
Asymmetric unit:
V1 0.000 0.000 0.000 (multiplicity 1)
Hg1 0.000 0.500 0.000 (multiplicity 2)
Sb1 0.500 0.500 0.500 (multiplicity 1)
Pb1 0.000 0.000 0.500 (multiplicity 1)



Entry from Alexandria via LeMat-Bulk: a relaxed ZnHgSbPb crystal (PBE).

Output
Final energy in eV per formula unit: -9.03
Crystal system: hexagonal
Magnetic moment in μB/f.u.: 0.0
Density of states at the Fermi level in states/eV/cell: 4.53

Cell lengths 4.4658, 4.4658, 13.3105 Å; angles 90.00, 90.00, 120.00 degrees
Space group P6_3mc (No. 186)
Asymmetric unit:
Zn1 0.0000 0.0000 0.0000 (multiplicity 2)
Hg1 0.0000 0.0000 0.2234 (multiplicity 2)
Sb1 0.3333 0.6667 0.0577 (multiplicity 2)
Pb1 0.3333 0.6667 0.3704 (multiplicity 2)



Entry from Alexandria via LeMat-Bulk: a relaxed Sc3HgPb crystal (PBE).

Output
Final energy in eV per formula unit: -22.43
ΔE_f in eV/atom: 0.116
Polymorph energy (0 for the lowest one) in eV per atom: 0.000
Crystal system: cubic
Magnetic moment in μB/f.u.: 0.0
Density of states at the Fermi level in states/eV/cell: 3.82

Cell lengths 5.266, 5.266, 5.266 Å; angles 90.00, 90.00, 90.00 degrees
Space group Pm-3m (No. 221)
Asymmetric unit:
Sc1 0.000 0.000 0.500 (multiplicity 3)
Hg1 0.000 0.000 0.000 (multiplicity 1)
Pb1 0.500 0.500 0.500 (multiplicity 1)



Entry from Alexandria via LeMat-Bulk: a relaxed Sc3Hg4Pb crystal (PBE).

Output
Final energy in eV per formula unit: -26.24
ΔE_f in eV/atom: -0.292
Crystal system: tetragonal
Magnetic moment in μB/f.u.: 0.6
Density of states at the Fermi level in states/eV/cell: 5.56

Cell lengths 4.805, 4.805, 7.957 Å; angles 90.00, 90.00, 90.00 degrees
Space group P4/mmm (No. 123)
Asymmetric unit:
Sc1 0.000 0.000 0.000 (multiplicity 1)
Sc2 0.000 0.000 0.500 (multiplicity 1)
Sc3 0.500 0.500 0.000 (multiplicity 1)
Hg1 0.000 0.500 0.231 (multiplicity 4)
Pb1 0.500 0.500 0.500 (multiplicity 1)



Entry from Alexandria via LeMat-Bulk: a relaxed ScHg2Pb crystal (PBE).

Output
Final energy in eV per formula unit: -10.90
ΔE_f in eV/atom: -0.063
Crystal system: trigonal
Magnetic moment in μB/f.u.: 0.0
Density of states at the Fermi level in states/eV/cell: 12.24

Cell lengths 3.5248, 3.5248, 29.1521 Å; angles 90.00, 90.00, 120.00 degrees
Space group R3m (No. 160, hexagonal axes)
Asymmetric unit:
Sc1 0.0000 0.0000 0.0000 (multiplicity 3)
Hg1 0.0000 0.0000 0.2585 (multiplicity 3)
Hg2 0.0000 0.0000 0.5093 (multiplicity 3)
Pb1 0.0000 0.0000 0.7494 (multiplicity 3)



Entry from Alexandria via LeMat-Bulk: a relaxed Sc2Hg2Pb crystal (PBE).

Output
Final energy in eV per formula unit: -18.38
ΔE_f in eV/atom: -0.282
Polymorph energy (0 for the lowest one) in eV per atom: 0.000
Crystal system: tetragonal
Magnetic moment in μB/f.u.: 0.0
Density of states at the Fermi level in states/eV/cell: 11.04

Cell lengths 8.219, 8.219, 3.531 Å; angles 90.00, 90.00, 90.00 degrees
Space group P4/mbm (No. 127)
Asymmetric unit:
Sc1 0.168 0.332 0.000 (multiplicity 4)
Hg1 0.129 0.629 0.500 (multiplicity 4)
Pb1 0.000 0.000 0.500 (multiplicity 2)



Entry from Alexandria via LeMat-Bulk: a relaxed Sc3Hg5Pb crystal (PBE).

Output
Final energy in eV per formula unit: -26.48
ΔE_f in eV/atom: -0.253
Crystal system: hexagonal
Magnetic moment in μB/f.u.: 0.0
Density of states at the Fermi level in states/eV/cell: 11.07

Cell lengths 8.6848, 8.6848, 6.2639 Å; angles 90.00, 90.00, 120.00 degrees
Space group P6_3/mcm (No. 193)
Asymmetric unit:
Sc1 0.0000 0.3363 0.2500 (multiplicity 6)
Hg1 0.0000 0.3386 0.7500 (multiplicity 6)
Hg2 0.3333 0.6667 0.0000 (multiplicity 4)
Pb1 0.0000 0.0000 0.0000 (multiplicity 2)



Entry from Alexandria via LeMat-Bulk: a relaxed Sc2HgPb crystal (PBE).

Output
Final energy in eV per formula unit: -17.06
ΔE_f in eV/atom: -0.096
Crystal system: trigonal
Magnetic moment in μB/f.u.: 0.7
Density of states at the Fermi level in states/eV/cell: 12.66

Cell lengths 3.3618, 3.3618, 31.2872 Å; angles 90.00, 90.00, 120.00 degrees
Space group R3m (No. 160, hexagonal axes)
Asymmetric unit:
Sc1 0.0000 0.0000 0.0000 (multiplicity 3)
Sc2 0.0000 0.0000 0.2539 (multiplicity 3)
Hg1 0.0000 0.0000 0.7426 (multiplicity 3)
Pb1 0.0000 0.0000 0.4991 (multiplicity 3)



Entry from Alexandria via LeMat-Bulk: a relaxed ScHg2Pb crystal (PBE).

Output
Final energy in eV per formula unit: -11.17
ΔE_f in eV/atom: -0.132
Crystal system: tetragonal
Magnetic moment in μB/f.u.: 0.0
Density of states at the Fermi level in states/eV/cell: 6.88

Cell lengths 4.436, 4.436, 9.862 Å; angles 90.00, 90.00, 90.00 degrees
Space group I-4m2 (No. 119)
Asymmetric unit:
Sc1 0.000 0.000 0.000 (multiplicity 2)
Hg1 0.000 0.000 0.500 (multiplicity 2)
Hg2 0.000 0.500 0.750 (multiplicity 2)
Pb1 0.000 0.500 0.250 (multiplicity 2)



Entry from Alexandria via LeMat-Bulk: a relaxed ScHg2Pb crystal (PBE).

Output
Final energy in eV per formula unit: -11.20
ΔE_f in eV/atom: -0.138
Crystal system: monoclinic
Magnetic moment in μB/f.u.: 0.0
Density of states at the Fermi level in states/eV/cell: 1.76

Cell lengths 3.529, 5.414, 5.295 Å; angles 90.00, 91.68, 90.00 degrees
Space group P2/m (No. 10)
Asymmetric unit:
Sc1 0.000 0.000 0.000 (multiplicity 1)
Hg1 0.230 0.500 0.760 (multiplicity 2)
Pb1 0.500 0.000 0.500 (multiplicity 1)



Entry from Alexandria via LeMat-Bulk: a relaxed Sc2HgPb crystal (PBE).

Output
Final energy in eV per formula unit: -17.83
ΔE_f in eV/atom: -0.290
Crystal system: monoclinic
Magnetic moment in μB/f.u.: 0.0
Density of states at the Fermi level in states/eV/cell: 6.49

Cell lengths 9.254, 3.488, 6.263 Å; angles 90.00, 102.23, 90.00 degrees
Space group C2/m (No. 12)
Asymmetric unit:
Sc1 0.249 0.000 0.233 (multiplicity 4)
Hg1 0.000 0.500 0.000 (multiplicity 2)
Pb1 0.000 0.000 0.500 (multiplicity 2)



Entry from Alexandria via LeMat-Bulk: a relaxed Sc2HgPb crystal (PBE).

Output
Final energy in eV per formula unit: -18.16
ΔE_f in eV/atom: -0.371
Crystal system: tetragonal
Magnetic moment in μB/f.u.: 0.8
Density of states at the Fermi level in states/eV/cell: 2.94

Cell lengths 4.706, 4.706, 4.153 Å; angles 90.00, 90.00, 90.00 degrees
Space group P4/mmm (No. 123)
Asymmetric unit:
Sc1 0.000 0.500 0.000 (multiplicity 2)
Hg1 0.000 0.000 0.500 (multiplicity 1)
Pb1 0.500 0.500 0.500 (multiplicity 1)



Entry from Alexandria via LeMat-Bulk: a relaxed Sc3HgPb crystal (PBE).

Output
Final energy in eV per formula unit: -20.93
ΔE_f in eV/atom: 0.414
Polymorph energy (0 for the lowest one) in eV per atom: 0.299
Crystal system: cubic
Magnetic moment in μB/f.u.: 1.2
Density of states at the Fermi level in states/eV/cell: 7.89

Cell lengths 5.405, 5.405, 5.405 Å; angles 90.00, 90.00, 90.00 degrees
Space group Pm-3m (No. 221)
Asymmetric unit:
Sc1 0.000 0.000 0.500 (multiplicity 3)
Hg1 0.500 0.500 0.500 (multiplicity 1)
Pb1 0.000 0.000 0.000 (multiplicity 1)



Entry from Alexandria via LeMat-Bulk: a relaxed Sc2HgPb crystal (PBE).

Output
Final energy in eV per formula unit: -18.16
ΔE_f in eV/atom: -0.372
Crystal system: monoclinic
Magnetic moment in μB/f.u.: 0.6
Density of states at the Fermi level in states/eV/cell: 2.83

Cell lengths 3.374, 4.080, 6.703 Å; angles 90.00, 90.07, 90.00 degrees
Space group P2/m (No. 10)
Asymmetric unit:
Sc1 0.000 0.000 0.243 (multiplicity 2)
Hg1 0.500 0.500 0.000 (multiplicity 1)
Pb1 0.500 0.500 0.500 (multiplicity 1)



Entry from Alexandria via LeMat-Bulk: a relaxed ScHg4Pb crystal (PBE).

Output
Final energy in eV per formula unit: -10.77
ΔE_f in eV/atom: 0.079
Crystal system: cubic
Magnetic moment in μB/f.u.: 0.0
Density of states at the Fermi level in states/eV/cell: 21.25

Cell lengths 8.458, 8.458, 8.458 Å; angles 90.00, 90.00, 90.00 degrees
Space group F-43m (No. 216)
Asymmetric unit:
Sc1 0.000 0.000 0.000 (multiplicity 4)
Hg1 0.125 0.125 0.625 (multiplicity 16)
Pb1 0.250 0.250 0.250 (multiplicity 4)



Entry from Alexandria via LeMat-Bulk: a relaxed ScHg2Pb crystal (PBE).

Output
Final energy in eV per formula unit: -10.98
ΔE_f in eV/atom: -0.085
Crystal system: tetragonal
Magnetic moment in μB/f.u.: 0.0
Density of states at the Fermi level in states/eV/cell: 15.97

Cell lengths 8.253, 8.253, 6.155 Å; angles 90.00, 90.00, 90.00 degrees
Space group I-42d (No. 122)
Asymmetric unit:
Sc1 0.000 0.000 0.000 (multiplicity 4)
Hg1 0.236 0.250 0.125 (multiplicity 8)
Pb1 0.000 0.000 0.500 (multiplicity 4)